Computed, not measured: BaCd3F after structural relaxation at the PBE level of DFT.

POSCAR file:
```
BaCd3F
1.0
5.302 0.000 0.000
0.000 5.302 0.000
0.000 0.000 5.302
Ba Cd F
1 3 1
Cartesian
0.000 0.000 0.000
0.000 2.651 2.651
2.651 0.000 2.651
2.651 2.651 0.000
2.651 2.651 2.651
```

Values from the calculation:
Total magnetization in μB per formula unit: 0.0
Total energy in eV/atom: -1.93
E_form (uncorrected) in meV per atom: -621
Polymorph energy (0 for the lowest one) in eV/atom: 0.000
Symmetry: Pm-3m, No. 221